# Rb2NaCdS, relaxed, DFT GGA-PBE
# Uncorrected formation energy (eV/f.u.): -2.42
# Calculated volume (A^3/atom): 45.1
# DFT total energy (eV/atom): -2.14
data_Rb2NaCdS
_cell_length_a 6.546
_cell_length_b 6.546
_cell_length_c 5.265
_cell_angle_alpha 90.00
_cell_angle_beta 90.00
_cell_angle_gamma 90.00
_symmetry_space_group_name_H-M 'P 4/m m m'
_symmetry_Int_Tables_number 123
_symmetry_space_group_name_Hall '-P 4 2'
loop_
_atom_site_label
_atom_site_fract_x
_atom_site_fract_y
_atom_site_fract_z
Rb1 0.000 0.500 0.000
Na1 0.000 0.000 0.500
Cd1 0.500 0.500 0.500
S1 0.000 0.000 0.000